[1]
A relaxed TlZnB crystal, computed with PBE.

```
data_TlZnB
_cell_length_a 6.5808
_cell_length_b 4.1419
_cell_length_c 6.2408
_cell_angle_alpha 85.62
_cell_angle_beta 58.13
_cell_angle_gamma 112.78
_symmetry_space_group_name_H-M 'P 1'
_symmetry_Int_Tables_number 1
loop_
_symmetry_equiv_pos_as_xyz
'x,y,z'
loop_
_atom_site_label
_atom_site_type_symbol
_atom_site_fract_x
_atom_site_fract_y
_atom_site_fract_z
Zn1 Zn 0.7578 0.8896 0.0084
Zn2 Zn 0.0465 0.6076 0.7114
B1 B 0.6654 0.3234 0.0935
B2 B 0.4158 0.9442 0.3424
Tl1 Tl 0.5110 0.4305 0.5988
Tl2 Tl 0.1315 0.2546 0.2756
```

Results
energy of formation: 0.445 eV/atom
space group: P1, No. 1

[2]
A relaxed Pt2IN crystal, computed with PBE.

```
data_Pt2IN
_cell_length_a 5.1359
_cell_length_b 5.1359
_cell_length_c 7.0428
_cell_angle_alpha 68.62
_cell_angle_beta 68.62
_cell_angle_gamma 90.00
_symmetry_space_group_name_H-M 'P 1'
_symmetry_Int_Tables_number 1
loop_
_symmetry_equiv_pos_as_xyz
'x,y,z'
loop_
_atom_site_label
_atom_site_type_symbol
_atom_site_fract_x
_atom_site_fract_y
_atom_site_fract_z
I1 I 0.0000 0.0000 0.0000
I2 I 0.7500 0.2500 0.5000
Pt1 Pt 0.4689 0.1250 0.2500
Pt2 Pt 0.2811 0.6250 0.2500
Pt3 Pt 0.3750 0.5311 0.7500
Pt4 Pt 0.8750 0.7189 0.7500
N1 N 0.5000 0.5000 0.0000
N2 N 0.2500 0.7500 0.5000
```

Results
raw formation energy: 0.61 eV/atom
space group: I-42d, No. 122

V in Å³/f.u., matching the order above: 62, 80
VASP energy in eV/atom, matching the order above: -2.995, -4.882
Fermi-level density of states in states/eV/cell, matching the order above: 1.57, 5.10